The following is a DFT calculation (PBE) of crystalline LiCa4Mg3 at its relaxed geometry.

Results
DOS(E_F): 8.3 states/eV per cell
space-group type: No. 123
crystal system: tetragonal
E: -1.896 eV per atom
V: 250 Å³/f.u.
size of the total moment: 0.00 μB/cell

a b c (Å): 3.967 3.967 15.865
angles (deg): 90.00 90.00 90.00
Fractional positions:
Ca 0.000 0.000 0.874
Ca 0.000 0.000 0.126
Ca 0.000 0.000 0.376
Ca 0.000 0.000 0.624
Mg 0.500 0.500 0.251
Mg 0.500 0.500 0.500
Mg 0.500 0.500 0.749
Li 0.500 0.500 0.000



The following is a DFT calculation (PBE) of crystalline Li6Ca2Mg9 at its relaxed geometry.

Results
DOS(E_F): 10.7 states/eV per cell
space-group type: No. 191
crystal system: hexagonal
E: -1.670 eV per atom
V: 466 Å³/f.u.
size of the total moment: 0.00 μB/cell

a b c (Å): 6.028 6.028 14.802
angles (deg): 90.00 90.00 120.00
Fractional positions:
Li 0.333 0.667 0.000
Li 0.667 0.333 0.000
Li 0.333 0.667 0.664
Li 0.667 0.333 0.664
Li 0.667 0.333 0.336
Li 0.333 0.667 0.336
Ca 0.000 0.000 0.657
Ca 0.000 0.000 0.343
Mg 0.500 0.000 0.825
Mg 0.000 0.500 0.825
Mg 0.500 0.500 0.825
Mg 0.500 0.000 0.175
Mg 0.000 0.500 0.175
Mg 0.500 0.500 0.175
Mg 0.500 0.000 0.500
Mg 0.000 0.500 0.500
Mg 0.500 0.500 0.500



The following is a DFT calculation (PBE) of crystalline Li6CaMg at its relaxed geometry.

Results
relative energy among the computed polymorphs: 32 meV per atom
DOS(E_F): 3.9 states/eV per cell
space-group type: No. 200
crystal system: cubic
V: 182 Å³/f.u.
size of the total moment: 0.00 μB/cell

a b c (Å): 5.669 5.669 5.669
angles (deg): 90.00 90.00 90.00
Fractional positions:
Li 0.500 0.767 0.000
Li 0.767 0.000 0.500
Li 0.000 0.500 0.233
Li 0.233 0.000 0.500
Li 0.500 0.233 0.000
Li 0.000 0.500 0.767
Ca 0.500 0.500 0.500
Mg 0.000 0.000 0.000